1.
Cs2AlGeI6: relaxed, GGA-PBE.

Summary:
The value obtained for the density of states at the Fermi level is 0.331 states/eV/atom. The calculation puts the volume at 833.3 Å³ per cell. Its electronic total energy is -55.568 eV/cell. As for the uncorrected formation energy: -0.8416 eV/atom.

a = 8.395 Å, b = 8.395 Å, c = 11.824 Å
α = 90.00°, β = 90.00°, γ = 90.00°
Space group I4/mmm (No. 139)
Inequivalent atoms, fractional coordinates:
Cs 0.000 0.500 0.250
Al 0.000 0.000 0.000
Ge 0.000 0.000 0.500
I 0.000 0.000 0.244
I 0.245 0.245 0.000


2.
In12Ag3Ge5: relaxed, GGA-PBE.

Summary:
The value obtained for the density of states at the Fermi level is 0.592 states/eV/atom. The calculation puts the formation energy at 126 meV per atom. The calculation puts the volume at 4328.2 Å³ per cell. Its electronic total energy is -495.811 eV/cell.

a = 16.297 Å, b = 16.297 Å, c = 16.297 Å
α = 90.00°, β = 90.00°, γ = 90.00°
Space group Ia-3d (No. 230)
Inequivalent atoms, fractional coordinates:
In 0.024 0.081 0.650
Ag 0.000 0.250 0.125
Ge 0.000 0.000 0.000
Ge 0.000 0.250 0.375


3.
MoPb4: relaxed, GGA-PBE.

Summary:
The relative energy among the computed polymorphs is 0 meV/atom. The value obtained for the density of states at the Fermi level is 1.000 states/eV/atom. The calculation puts the formation energy at 508 meV per atom. The calculation puts the volume at 300.8 Å³ per cell. Its electronic total energy is -46.250 eV/cell.

a = 6.700 Å, b = 6.700 Å, c = 6.700 Å
α = 90.00°, β = 90.00°, γ = 90.00°
Space group Im-3m (No. 229)
Inequivalent atoms, fractional coordinates:
Mo 0.000 0.000 0.000
Pb 0.250 0.250 0.250


- What is the electronic total energy in the second record?
  -495.811 eV/cell


- electronic total energy of number 1 (Cs2AlGeI6)?
  -55.568 eV/cell